[1]
First-principles (PBE) data for a relaxed LaPr2TcO8 crystal, as listed in Alexandria via LeMat-Bulk.

Geometry as POSCAR:
```
LaPr2TcO8
1.0
5.2313 0.0000 0.0000
0.0000 7.1071 0.0000
-0.0111 0.0000 5.2319
La Pr Tc O
1 2 1 8
Direct
0.0000 0.0000 0.0000 La
0.5000 0.2537 0.5000 Pr
0.5000 0.7463 0.5000 Pr
0.0000 0.5000 0.0000 Tc
0.1781 0.3024 0.8234 O
0.1781 0.6976 0.8234 O
0.2549 0.5000 0.2567 O
0.3089 0.0000 0.3105 O
0.6911 0.0000 0.6895 O
0.7451 0.5000 0.7433 O
0.8219 0.3024 0.1766 O
0.8219 0.6976 0.1766 O
```

magnetic moment	0.00	μB per atom
raw formation energy	-30.29	eV per formula unit
uncorrected energy	-7.90	eV per atom
V	195	Å³ per cell



[2]
First-principles (PBE) data for a relaxed BeVTe crystal, as listed in Alexandria via LeMat-Bulk.

Geometry as POSCAR:
```
BeVTe
1.0
4.0395 0.0000 0.0000
2.0145 3.5056 0.0000
0.0264 0.0360 8.0435
Be V Te
2 2 2
Direct
0.0002 0.0006 0.3801 Be
0.9998 0.9994 0.6199 Be
0.3335 0.3342 0.4341 V
0.6665 0.6658 0.5659 V
0.3327 0.3294 0.7780 Te
0.6673 0.6706 0.2220 Te
```

magnetic moment	0.00	μB per atom
raw formation energy	-0.20	eV per formula unit
energy relative to the lowest polymorph listed for this composition	2.28	kcal/mol of atoms
uncorrected energy	-5.40	eV per atom
V	114	Å³ per cell



[3]
First-principles (PBE) data for a relaxed La2Tb2Pm4Dy crystal, as listed in Alexandria via LeMat-Bulk.

Geometry as POSCAR:
```
La2Tb2Pm4Dy
1.0
9.5226 -1.8392 0.0000
9.5226 1.8392 0.0000
-4.2243 0.0000 8.7866
La Tb Pm Dy
2 2 4 1
Direct
0.1654 0.1654 0.4981 La
0.8346 0.8346 0.5019 La
0.3526 0.3526 0.8350 Tb
0.6474 0.6474 0.1650 Tb
0.0189 0.0189 0.8347 Pm
0.3141 0.3141 0.1654 Pm
0.6859 0.6859 0.8346 Pm
0.9811 0.9811 0.1653 Pm
0.5000 0.5000 0.5000 Dy
```

magnetic moment	0.00	μB per atom
formation energy	6	meV/atom
uncorrected energy	-4.74	eV per atom
V	308	Å³ per cell



[4]
First-principles (PBE) data for a relaxed NbNiC crystal, as listed in Alexandria via LeMat-Bulk.

Geometry as POSCAR:
```
NbNiC
1.0
3.2088 0.0000 0.0000
0.0000 4.3350 0.0000
0.0000 0.0000 10.0234
Nb Ni C
4 4 4
Direct
0.0000 0.0000 0.0000 Nb
0.0000 0.5000 0.2220 Nb
0.5000 0.0000 0.7220 Nb
0.5000 0.5000 0.5000 Nb
0.0000 0.0000 0.4009 Ni
0.0000 0.5000 0.7221 Ni
0.5000 0.0000 0.2221 Ni
0.5000 0.5000 0.9009 Ni
0.0000 0.1752 0.5822 C
0.0000 0.8248 0.5822 C
0.5000 0.3248 0.0822 C
0.5000 0.6752 0.0822 C
```

magnetic moment	0.00	μB per atom
energy relative to the lowest polymorph listed for this composition	4.15	kcal/mol of atoms
formation energy	-59	meV/atom
uncorrected energy	-8.42	eV per atom
V	139	Å³ per cell



[5]
First-principles (PBE) data for a relaxed LaPbCl2 crystal, as listed in Alexandria via LeMat-Bulk.

Geometry as POSCAR:
```
LaPbCl2
1.0
3.5878 0.0000 0.0000
0.0000 6.5680 0.0000
0.0000 0.0000 10.1124
La Pb Cl
2 2 4
Direct
0.0000 0.0000 0.0000 La
0.5000 0.5000 0.0000 La
0.0000 0.0000 0.5000 Pb
0.5000 0.5000 0.5000 Pb
0.0000 0.5000 0.2241 Cl
0.0000 0.5000 0.7759 Cl
0.5000 0.0000 0.2241 Cl
0.5000 0.0000 0.7759 Cl
```

magnetic moment	0.00	μB per atom
raw formation energy	-4.62	eV per formula unit
energy relative to the lowest polymorph listed for this composition	4.66	kcal/mol of atoms
uncorrected energy	-4.24	eV per atom
V	238	Å³ per cell



[6]
First-principles (PBE) data for a relaxed Rb2BaBi crystal, as listed in Alexandria via LeMat-Bulk.

Geometry as POSCAR:
```
Rb2BaBi
1.0
5.3967 0.0000 0.0000
0.0000 5.3967 0.0000
0.0000 0.0000 28.5873
Rb Ba Bi
8 4 4
Direct
0.2207 0.2500 0.1250 Rb
0.2500 0.7207 0.3750 Rb
0.2500 0.7793 0.8750 Rb
0.2793 0.2500 0.6250 Rb
0.7207 0.7500 0.6250 Rb
0.7500 0.2207 0.8750 Rb
0.7500 0.2793 0.3750 Rb
0.7793 0.7500 0.1250 Rb
0.0000 0.0000 0.5000 Ba
0.0000 0.5000 0.7500 Ba
0.5000 0.0000 0.2500 Ba
0.5000 0.5000 0.0000 Ba
0.0000 0.0000 0.0000 Bi
0.0000 0.5000 0.2500 Bi
0.5000 0.0000 0.7500 Bi
0.5000 0.5000 0.5000 Bi
```

magnetic moment	0.07	μB per atom
formation energy	-195	meV/atom
uncorrected energy	-2.13	eV per atom
V	833	Å³ per cell



[7]
First-principles (PBE) data for a relaxed InOsO2F crystal, as listed in Alexandria via LeMat-Bulk.

Geometry as POSCAR:
```
InOsO2F
1.0
4.2212 0.0000 0.0000
0.0000 4.2212 0.0000
0.0000 0.0000 4.1158
In Os O F
1 1 2 1
Direct
0.0000 0.0000 0.0000 In
0.5000 0.5000 0.5000 Os
0.0000 0.5000 0.0000 O
0.5000 0.0000 0.0000 O
0.0000 0.0000 0.5000 F
```

magnetic moment	0.84	μB per atom
raw formation energy	0.54	eV per formula unit
uncorrected energy	-5.04	eV per atom
V	73	Å³ per cell



[8]
First-principles (PBE) data for a relaxed Ca2TlSe2 crystal, as listed in Alexandria via LeMat-Bulk.

Geometry as POSCAR:
```
Ca2TlSe2
1.0
8.3572 0.0000 0.0000
0.0000 8.3572 0.0000
0.0000 0.0000 3.7984
Ca Tl Se
4 2 4
Direct
0.1537 0.3463 0.0000 Ca
0.3463 0.8463 0.0000 Ca
0.6537 0.1537 0.0000 Ca
0.8463 0.6537 0.0000 Ca
0.0000 0.0000 0.5000 Tl
0.5000 0.5000 0.5000 Tl
0.1476 0.6476 0.5000 Se
0.3524 0.1476 0.5000 Se
0.6476 0.8524 0.5000 Se
0.8524 0.3524 0.5000 Se
```

magnetic moment	0.00	μB per atom
raw formation energy	-6.59	eV per formula unit
energy relative to the lowest polymorph listed for this composition	0.00	kcal/mol of atoms
uncorrected energy	-3.98	eV per atom
V	265	Å³ per cell